Entry 1:
Pr2Hg2Rh4C after structural relaxation, computed with PBE-GGA.

```
9
Lattice="-3.092 3.092 4.420 3.092 -3.092 4.420 3.092 3.092 -4.420" Properties=species:S:1:pos:R:3 pbc="T T T"
Pr 0.000 0.000 1.866
Pr 0.000 0.000 6.975
Hg 3.092 0.000 2.210
Hg 0.000 3.092 2.210
Rh 1.641 1.641 0.000
Rh 1.452 -1.452 4.420
Rh -1.452 1.452 4.420
Rh 1.452 1.452 4.420
C 0.000 0.000 4.420
```

* symmetry: I4/mmm (139)
* E_form: -0.1553 eV/atom
* ρ: 10.9 g cm⁻³

---

Entry 2:
Pr2SmHgC after structural relaxation, computed with PBE-GGA.

```
5
Lattice="5.167 0.000 0.000 0.000 5.167 0.000 0.000 0.000 5.005" Properties=species:S:1:pos:R:3 pbc="T T T"
Pr 0.000 2.583 0.000
Pr 2.583 0.000 0.000
Sm 0.000 0.000 2.503
Hg 2.583 2.583 2.503
C 0.000 0.000 0.000
```

* symmetry: P4/mmm (123)
* E_form: -0.2012 eV/atom
* ρ: 8.0 g cm⁻³

---

Entry 3:
Tb2PrHgC after structural relaxation, computed with PBE-GGA.

```
10
Lattice="-3.459 3.459 5.196 3.459 -3.459 5.196 3.459 3.459 -5.196" Properties=species:S:1:pos:R:3 pbc="T T T"
Tb 4.796 1.337 0.000
Tb 1.337 2.122 0.000
Tb 2.122 1.337 5.196
Tb -1.337 2.122 5.196
Pr 0.000 0.000 2.598
Pr 0.000 0.000 7.794
Hg 3.459 0.000 2.598
Hg 0.000 3.459 2.598
C 0.000 0.000 0.000
C 0.000 0.000 5.196
```

* symmetry: I4/mcm (140)
* E_form: -0.3236 eV/atom
* ρ: 9.0 g cm⁻³

---

Entry 4:
PrThHgC after structural relaxation, computed with PBE-GGA.

```
4
Lattice="1.875 1.082 8.148 -1.875 1.082 8.148 0.000 -2.165 8.148" Properties=species:S:1:pos:R:3 pbc="T T T"
Pr 0.000 0.000 0.000
Th 0.000 0.000 19.195
Hg 0.000 0.000 5.558
C 0.000 0.000 9.766
```

* symmetry: R3m (160)
* E_form: -0.2915 eV/atom
* ρ: 9.8 g cm⁻³

---

Entry 5:
PrY2HgC after structural relaxation, computed with PBE-GGA.

```
5
Lattice="4.901 0.000 0.000 0.000 4.901 0.000 0.000 0.000 5.208" Properties=species:S:1:pos:R:3 pbc="T T T"
Pr 0.000 0.000 0.000
Y 0.000 2.450 2.604
Y 2.450 0.000 2.604
Hg 2.450 2.450 0.000
C 0.000 0.000 2.604
```

* symmetry: P4/mmm (123)
* E_form: -0.3162 eV/atom
* ρ: 7.1 g cm⁻³

---

Entry 6:
Hg3PtC after structural relaxation, computed with PBE-GGA.

```
5
Lattice="5.297 0.000 0.000 0.000 5.297 0.000 0.000 0.000 5.297" Properties=species:S:1:pos:R:3 pbc="T T T"
Hg 0.000 0.000 2.649
Hg 0.000 2.649 0.000
Hg 2.649 0.000 0.000
Pt 0.000 0.000 0.000
C 2.649 2.649 2.649
```

* symmetry: Pm-3m (221)
* E_form: 1.3998 eV/atom
* ρ: 9.0 g cm⁻³
* energy above the lowest structure with this stoichiometry: 272 meV per atom

---

Entry 7:
HgPt3C after structural relaxation, computed with PBE-GGA.

```
5
Lattice="5.049 0.000 0.000 0.000 5.049 0.000 0.000 0.000 5.049" Properties=species:S:1:pos:R:3 pbc="T T T"
Hg 0.000 0.000 0.000
Pt 0.000 0.000 2.525
Pt 0.000 2.525 0.000
Pt 2.525 0.000 0.000
C 2.525 2.525 2.525
```

* symmetry: Pm-3m (221)
* E_form: 2.8564 eV/atom
* ρ: 10.3 g cm⁻³
* energy above the lowest structure with this stoichiometry: 2483 meV per atom

---

Entry 8:
Hg3PtC after structural relaxation, computed with PBE-GGA.

```
5
Lattice="4.581 0.000 0.000 0.000 4.581 0.000 0.000 0.000 4.581" Properties=species:S:1:pos:R:3 pbc="T T T"
Hg 0.000 0.000 2.291
Hg 0.000 2.291 0.000
Hg 2.291 0.000 0.000
Pt 2.291 2.291 2.291
C 0.000 0.000 0.000
```

* symmetry: Pm-3m (221)
* E_form: 1.1275 eV/atom
* ρ: 14.0 g cm⁻³
* energy above the lowest structure with this stoichiometry: 0 meV per atom

---

Entry 9:
HgPt3C after structural relaxation, computed with PBE-GGA.

```
5
Lattice="4.250 0.000 0.000 0.000 4.250 0.000 0.000 0.000 4.250" Properties=species:S:1:pos:R:3 pbc="T T T"
Hg 0.000 0.000 0.000
Pt 0.000 2.125 2.125
Pt 2.125 0.000 2.125
Pt 2.125 2.125 0.000
C 2.125 2.125 2.125
```

* symmetry: Pm-3m (221)
* E_form: 0.3732 eV/atom
* ρ: 17.3 g cm⁻³
* energy above the lowest structure with this stoichiometry: 0 meV per atom

---

Entry 10:
Hg2PtC after structural relaxation, computed with PBE-GGA.

```
8
Lattice="-3.517 3.517 2.801 3.517 -3.517 2.801 3.517 3.517 -2.801" Properties=species:S:1:pos:R:3 pbc="T T T"
Hg 5.276 1.376 -0.700
Hg 1.376 1.759 0.700
Hg -1.759 2.141 2.101
Hg 2.141 1.759 3.501
Pt 3.517 0.000 1.401
Pt 0.000 0.000 2.801
C 0.000 0.000 0.000
C 0.000 3.517 1.401
```

* symmetry: I-42d (122)
* E_form: 1.3275 eV/atom
* ρ: 14.6 g cm⁻³

---

Entry 11:
Sc2HgPtC after structural relaxation, computed with PBE-GGA.

```
5
Lattice="4.584 0.000 0.000 0.000 4.584 0.000 0.000 0.000 4.074" Properties=species:S:1:pos:R:3 pbc="T T T"
Sc 0.000 2.292 0.000
Sc 2.292 0.000 0.000
Hg 0.000 0.000 2.037
Pt 2.292 2.292 2.037
C 2.292 2.292 0.000
```

* symmetry: P4/mmm (123)
* E_form: -0.5346 eV/atom
* ρ: 9.7 g cm⁻³

---

Entry 12:
Sr2HgPtC after structural relaxation, computed with PBE-GGA.

```
5
Lattice="5.616 0.000 0.000 0.000 5.616 0.000 0.000 0.000 3.903" Properties=species:S:1:pos:R:3 pbc="T T T"
Sr 0.000 2.808 0.000
Sr 2.808 0.000 0.000
Hg 0.000 0.000 1.951
Pt 2.808 2.808 1.951
C 2.808 2.808 0.000
```

* symmetry: P4/mmm (123)
* E_form: -0.3827 eV/atom
* ρ: 7.9 g cm⁻³

---

Entry 13:
SrHg2PtC after structural relaxation, computed with PBE-GGA.

```
5
Lattice="5.409 0.000 0.000 0.000 5.409 0.000 0.000 0.000 3.967" Properties=species:S:1:pos:R:3 pbc="T T T"
Sr 0.000 0.000 0.000
Hg 0.000 2.705 1.983
Hg 2.705 0.000 1.983
Pt 2.705 2.705 0.000
C 2.705 2.705 1.983
```

* symmetry: P4/mmm (123)
* E_form: 0.2964 eV/atom
* ρ: 10.0 g cm⁻³

---

Entry 14:
ZrHgPt2C after structural relaxation, computed with PBE-GGA.

```
5
Lattice="4.960 0.000 0.000 0.000 4.960 0.000 0.000 0.000 5.226" Properties=species:S:1:pos:R:3 pbc="T T T"
Zr 0.000 0.000 0.000
Hg 0.000 0.000 2.613
Pt 0.000 2.480 2.613
Pt 2.480 0.000 2.613
C 2.480 2.480 0.000
```

* symmetry: P4/mmm (123)
* E_form: 2.4480 eV/atom
* ρ: 9.0 g cm⁻³

---

Entry 15:
Pu3HgC after structural relaxation, computed with PBE-GGA.

```
5
Lattice="4.868 0.000 0.000 0.000 4.868 0.000 0.000 0.000 4.868" Properties=species:S:1:pos:R:3 pbc="T T T"
Pu 0.000 0.000 2.434
Pu 0.000 2.434 0.000
Pu 2.434 0.000 0.000
Hg 2.434 2.434 2.434
C 0.000 0.000 0.000
```

* symmetry: Pm-3m (221)
* E_form: 0.0016 eV/atom
* ρ: 13.6 g cm⁻³

---

Entry 16:
PuHgC after structural relaxation, computed with PBE-GGA.

```
6
Lattice="-1.631 1.631 10.778 1.631 -1.631 10.778 1.631 1.631 -10.778" Properties=species:S:1:pos:R:3 pbc="T T T"
Pu 0.000 0.000 1.716
Pu 0.000 0.000 19.840
Hg 0.000 0.000 6.583
Hg 0.000 0.000 14.973
C 1.631 0.000 0.000
C 0.000 1.631 0.000
```

* symmetry: I4/mmm (139)
* E_form: 0.4419 eV/atom
* ρ: 13.2 g cm⁻³

---

Entry 17:
PuThHgC after structural relaxation, computed with PBE-GGA.

```
4
Lattice="1.768 1.021 8.456 -1.768 1.021 8.456 0.000 -2.042 8.456" Properties=species:S:1:pos:R:3 pbc="T T T"
Pu 0.000 0.000 0.000
Th 0.000 0.000 19.825
Hg 0.000 0.000 14.142
C 0.000 0.000 9.837
```

* symmetry: R3m (160)
* E_form: -0.1819 eV/atom
* ρ: 12.5 g cm⁻³

---

Entry 18:
RbHg3C after structural relaxation, computed with PBE-GGA.

```
5
Lattice="5.158 0.000 0.000 0.000 5.158 0.000 0.000 0.000 5.158" Properties=species:S:1:pos:R:3 pbc="T T T"
Rb 0.000 0.000 0.000
Hg 0.000 2.579 2.579
Hg 2.579 0.000 2.579
Hg 2.579 2.579 0.000
C 2.579 2.579 2.579
```

* symmetry: Pm-3m (221)
* E_form: 0.7810 eV/atom
* ρ: 8.5 g cm⁻³
* energy above the lowest structure with this stoichiometry: 0 meV per atom

---

These records have M_tot values of 0.00, 0.00, 0.00, 0.00, 0.00, 2.25, 1.34, 0.00, 0.00, 0.00, 0.00, 0.00, 0.00, 0.00, 16.29, 9.98, 5.38, 0.00 μB per cell, in the order they appear.